# 1
BePbAu2 | Alexandria via LeMat-Bulk | PBE-GGA | relaxed; energy of formation from the pure elements = 0.00 eV per atom; N(E_F) = 0.42 states/eV per atom; energy relative to the lowest polymorph listed for this composition = 24 meV/atom; energy = -3.497 eV per atom
1.0
3.0416 -0.0368 0.0000
-0.0613 3.0413 0.0000
0.0000 0.0000 8.1192
Au Pb Be
2 1 1
Direct
0.0000 0.0000 0.0748
0.0000 0.0000 0.4252
0.5000 0.5000 0.7500
0.5000 0.5000 0.2500

---

# 2
Nd8Ge2Rh | Alexandria via LeMat-Bulk | PBE-GGA | relaxed; energy of formation from the pure elements = -0.42 eV per atom; N(E_F) = 0.96 states/eV per atom; energy = -5.396 eV per atom
1.0
-1.1288 0.3982 4.6454
-0.6937 -7.1037 0.4403
9.7880 0.9473 -0.1797
Nd Ge Rh
8 2 1
Direct
0.9819 0.2198 0.9638
0.2155 0.3362 0.4310
0.3466 0.9972 0.6933
0.5953 0.4858 0.1905
0.7845 0.6638 0.5690
0.6534 0.0028 0.3067
0.0181 0.7802 0.0362
0.4047 0.5142 0.8095
0.1826 0.7537 0.3652
0.8174 0.2463 0.6348
0.5000 0.0000 0.0000

---

# 3
InCuBr6 | Alexandria via LeMat-Bulk | PBE-GGA | relaxed; ΔE_f (raw) = -0.4124 eV/atom; energy = -2.521 eV per atom
1.0
8.0786 1.8123 -0.9875
5.7479 7.1893 -1.1535
3.6763 2.4313 5.5355
Br In Cu
6 1 1
Direct
0.3701 0.7722 0.7287
0.2758 0.9095 0.1475
0.7242 0.0905 0.8525
0.1164 0.5501 0.6463
0.8836 0.4499 0.3537
0.6299 0.2278 0.2713
0.5000 0.5000 0.5000
0.0000 0.0000 0.0000

---

# 4
Be3Nb2Os | Alexandria via LeMat-Bulk | PBE-GGA | relaxed; energy of formation from the pure elements = -0.28 eV per atom; N(E_F) = 0.62 states/eV per atom; energy = -7.371 eV per atom
1.0
-0.8489 -3.8668 2.6699
4.3132 0.6650 -1.9378
0.2497 4.2935 2.0317
Os Be Nb
1 3 2
Direct
0.0000 0.0000 0.0000
0.5000 0.0000 0.5000
0.0000 0.0000 0.5000
0.5000 0.5000 0.5000
0.2456 0.6229 0.8685
0.7544 0.3771 0.1315

---

# 5
Ca4Zn2GaHg | Alexandria via LeMat-Bulk | PBE-GGA | relaxed; energy of formation from the pure elements = -0.37 eV per atom; N(E_F) = 0.65 states/eV per atom; energy = -2.110 eV per atom
1.0
5.2321 0.0000 0.0000
2.6161 4.5311 0.0000
2.6161 1.5104 8.6079
Ca Zn Hg Ga
4 2 1 1
Direct
0.3768 0.3768 0.8696
0.6232 0.6232 0.1304
0.1266 0.1266 0.6203
0.8734 0.8734 0.3797
0.2494 0.2494 0.2517
0.7506 0.7506 0.7483
0.0000 0.0000 0.0000
0.5000 0.5000 0.5000

---

# 6
AsP2Br8 | Alexandria via LeMat-Bulk | PBE-GGA | relaxed; ΔE_f (raw) = -0.2108 eV/atom; N(E_F) = 0.39 states/eV per atom; energy relative to the lowest polymorph listed for this composition = 0 meV/atom; energy = -2.834 eV per atom
1.0
-9.1716 -0.9279 -2.3387
-0.3518 -3.5020 -7.1062
-4.8007 -4.7847 3.1123
Br P As
8 2 1
Direct
0.3081 0.8862 0.5790
0.6919 0.1138 0.4210
0.0204 0.6707 0.9617
0.6949 0.6763 0.6857
0.2094 0.9172 0.1623
0.7906 0.0828 0.8377
0.9796 0.3293 0.0383
0.3051 0.3237 0.3143
0.5301 0.0342 0.1252
0.4699 0.9658 0.8748
0.0000 0.0000 0.0000

---

# 7
SmDy5Ho7 | Alexandria via LeMat-Bulk | PBE-GGA | relaxed; energy of formation from the pure elements = 0.25 eV per atom; N(E_F) = 1.86 states/eV per atom; energy = -4.343 eV per atom
1.0
-4.2326 -4.6804 2.1238
1.4038 -7.6880 -3.7085
3.0777 -4.4593 6.7432
Dy Ho Sm
5 7 1
Direct
0.9990 0.9964 0.5397
0.9990 0.5397 0.9964
0.7317 0.7683 0.7683
0.4649 0.9964 0.5397
0.4649 0.5397 0.9964
0.9815 0.6880 0.3490
0.2301 0.2699 0.2699
0.4239 0.5761 0.5761
0.7291 0.2709 0.2709
0.9815 0.3490 0.6880
0.4807 0.8494 0.1892
0.4807 0.1892 0.8494
0.0332 0.9668 0.9668

---

# 8
RbSc3Ti | Alexandria via LeMat-Bulk | PBE-GGA | relaxed; energy of formation from the pure elements = 1.56 eV per atom; N(E_F) = 1.09 states/eV per atom; energy relative to the lowest polymorph listed for this composition = 830 meV/atom; energy = -4.007 eV per atom
1.0
-2.4201 -2.8869 3.3277
-0.5059 -3.5896 -3.4820
4.3763 -2.0114 1.4377
Sc Ti Rb
3 1 1
Direct
0.5000 0.0000 0.0000
0.0000 0.5000 0.0000
0.0000 0.0000 0.5000
0.5000 0.5000 0.5000
0.0000 0.0000 0.0000